1.
Entry from Alexandria: an optimized crystal structure of Dy2AlH (GGA-PBE).

As for the excess energy over the best structure of this formula in the dataset: 0.00 eV/f.u. The value obtained for the size of the total moment is 0.00 μB/cell.

Geometry as CIF:
```
data_Dy2AlH
_cell_length_a 3.5630
_cell_length_b 3.5630
_cell_length_c 22.1920
_cell_angle_alpha 90.00
_cell_angle_beta 90.00
_cell_angle_gamma 120.00
_space_group_name_H-M_alt 'R -3 m'
_space_group_IT_number 166
_space_group_name_Hall '-R 3 2"'
loop_
_atom_site_label
_atom_site_type_symbol
_atom_site_fract_x
_atom_site_fract_y
_atom_site_fract_z
Dy1 Dy 0.0000 0.0000 0.2299
Al1 Al 0.0000 0.0000 0.0000
H1 H 0.0000 0.0000 0.5000
```

***

2.
Entry from Alexandria: an optimized crystal structure of Dy3Al5H12 (GGA-PBE).

For the total energy, the calculation gives -579.01 eV per cell. The value obtained for the size of the total moment is 0.00 μB/cell.

Geometry as CIF:
```
data_Dy3Al5H12
_cell_length_a 11.888
_cell_length_b 11.888
_cell_length_c 11.888
_cell_angle_alpha 90.00
_cell_angle_beta 90.00
_cell_angle_gamma 90.00
_space_group_name_H-M_alt 'I a -3 d'
_space_group_IT_number 230
_space_group_name_Hall '-I 4bd 2c 3'
loop_
_atom_site_label
_atom_site_type_symbol
_atom_site_fract_x
_atom_site_fract_y
_atom_site_fract_z
Dy1 Dy 0.000 0.250 0.125
Al1 Al 0.000 0.000 0.000
Al2 Al 0.000 0.250 0.375
H1 H 0.020 0.062 0.646
```

***

3.
Entry from Alexandria: an optimized crystal structure of Dy2AlH (GGA-PBE).

As for the excess energy over the best structure of this formula in the dataset: 0.00 eV/f.u. The value obtained for the size of the total moment is 0.00 μB/cell.

Geometry as CIF:
```
data_Dy2AlH
_cell_length_a 3.288
_cell_length_b 3.512
_cell_length_c 7.238
_cell_angle_alpha 90.00
_cell_angle_beta 90.00
_cell_angle_gamma 90.00
_space_group_name_H-M_alt 'P m m m'
_space_group_IT_number 47
_space_group_name_Hall '-P 2 2'
loop_
_atom_site_label
_atom_site_type_symbol
_atom_site_fract_x
_atom_site_fract_y
_atom_site_fract_z
Dy1 Dy 0.000 0.000 0.234
Al1 Al 0.500 0.500 0.500
H1 H 0.500 0.000 0.000
```

***

What are the calculated density values for these records? In order: 7.207 5.017 7.013 g/cm³.